No. 1
# PBE La12Ho3Al5, relaxed
data_La12Ho3Al5
_chemical_formula_sum 'La96 Ho24 Al40'
_symmetry_space_group_name_H-M 'I a -3 d'
_symmetry_Int_Tables_number 230
_symmetry_space_group_name_Hall '-I 4bd 2c 3'
_cell_length_a 18.5830
_cell_length_b 18.5830
_cell_length_c 18.5830
_cell_angle_alpha 90.00
_cell_angle_beta 90.00
_cell_angle_gamma 90.00
loop_
_atom_site_label
_atom_site_fract_x
_atom_site_fract_y
_atom_site_fract_z
La1 0.0255 0.0717 0.6443
Ho1 0.0000 0.2500 0.1250
Al1 0.0000 0.0000 0.0000
Al2 0.0000 0.2500 0.3750
# - E (eV/f.u.) = -81.21
# - mass density (g/cm3) = 4.754
# - volume (Å³ per cell) = 6417.3

No. 2
# PBE Tb2TeAu, relaxed
data_Tb2TeAu
_chemical_formula_sum 'Tb8 Te4 Au4'
_symmetry_space_group_name_H-M 'C m c m'
_symmetry_Int_Tables_number 63
_symmetry_space_group_name_Hall '-C 2c 2'
_cell_length_a 4.0727
_cell_length_b 23.6130
_cell_length_c 4.5162
_cell_angle_alpha 90.00
_cell_angle_beta 90.00
_cell_angle_gamma 90.00
loop_
_atom_site_label
_atom_site_fract_x
_atom_site_fract_y
_atom_site_fract_z
Tb1 0.0000 0.0608 0.2500
Tb2 0.0000 0.3306 0.2500
Te1 0.0000 0.1946 0.2500
Au1 0.0000 0.4569 0.2500
# - mass density (g/cm3) = 9.825
# - E_form (uncorrected) (eV/atom) = -1.090
# - volume (Å³ per cell) = 434.3

No. 3
# PBE CsSnP3, relaxed
data_CsSnP3
_chemical_formula_sum 'Cs1 Sn1 P3'
_symmetry_space_group_name_H-M 'P m -3 m'
_symmetry_Int_Tables_number 221
_symmetry_space_group_name_Hall '-P 4 2 3'
_cell_length_a 5.3799
_cell_length_b 5.3799
_cell_length_c 5.3799
_cell_angle_alpha 90.00
_cell_angle_beta 90.00
_cell_angle_gamma 90.00
loop_
_atom_site_label
_atom_site_fract_x
_atom_site_fract_y
_atom_site_fract_z
Cs1 0.0000 0.0000 0.0000
Sn1 0.5000 0.5000 0.5000
P1 0.0000 0.0000 0.5000
# - E (eV/f.u.) = -11.78
# - mass density (g/cm3) = 3.674
# - volume (Å³ per cell) = 155.7